# 1
Here is a relaxed structure of HoErAl2Au4 from OQMD via LeMat-Bulk. Energies are from PBE-GGA.

**Crystal system**: hexagonal

Structure (CIF):
```
data_HoErAl2Au4
_chemical_formula_sum 'Ho1 Er1 Al2 Au4'
_cell_length_a 4.5329
_cell_length_b 4.5329
_cell_length_c 9.0577
_cell_angle_alpha 90.00
_cell_angle_beta 90.00
_cell_angle_gamma 120.00
_symmetry_space_group_name_H-M 'P -6 m 2'
_symmetry_Int_Tables_number 187
_symmetry_space_group_name_Hall 'P -6 2'
loop_
_atom_site_label
_atom_site_fract_x
_atom_site_fract_y
_atom_site_fract_z
Ho1 0.0000 0.0000 0.0000
Er1 0.6667 0.3333 0.5000
Al1 0.3333 0.6667 0.2502
Au1 0.0000 0.0000 0.3362
Au2 0.6667 0.3333 0.1649
```

---

# 2
Here is a relaxed structure of HoEr2Al3NiAu2 from OQMD via LeMat-Bulk. Energies are from PBE-GGA.

**Crystal system**: orthorhombic

Structure (CIF):
```
data_HoEr2Al3NiAu2
_chemical_formula_sum 'Ho2 Er4 Al6 Ni2 Au4'
_cell_length_a 4.0615
_cell_length_b 12.3566
_cell_length_c 7.1283
_cell_angle_alpha 90.00
_cell_angle_beta 90.00
_cell_angle_gamma 90.00
_symmetry_space_group_name_H-M 'A m m 2'
_symmetry_Int_Tables_number 38
_symmetry_space_group_name_Hall 'A 2 -2'
loop_
_atom_site_label
_atom_site_fract_x
_atom_site_fract_y
_atom_site_fract_z
Ho1 0.0000 0.0000 0.0000
Er1 0.0000 0.2001 0.3990
Al1 0.5000 0.0000 0.3735
Al2 0.5000 0.1127 0.7116
Ni1 0.0000 0.0000 0.5981
Au1 0.5000 0.1674 0.0994
```

---

# 3
Here is a relaxed structure of Er3Mg3AlAu2 from OQMD via LeMat-Bulk. Energies are from PBE-GGA.

**Crystal system**: hexagonal

Structure (CIF):
```
data_Er3Mg3AlAu2
_chemical_formula_sum 'Er3 Mg3 Al1 Au2'
_cell_length_a 7.7542
_cell_length_b 7.7542
_cell_length_c 3.9234
_cell_angle_alpha 90.00
_cell_angle_beta 90.00
_cell_angle_gamma 120.00
_symmetry_space_group_name_H-M 'P -6 2 m'
_symmetry_Int_Tables_number 189
_symmetry_space_group_name_Hall 'P -6 -2'
loop_
_atom_site_label
_atom_site_fract_x
_atom_site_fract_y
_atom_site_fract_z
Er1 0.0000 0.4112 0.0000
Mg1 0.0000 0.7436 0.5000
Al1 0.0000 0.0000 0.0000
Au1 0.3333 0.6667 0.5000
```

---

# 4
Here is a relaxed structure of Er3Mg3Al2Au from OQMD via LeMat-Bulk. Energies are from PBE-GGA.

**Crystal system**: hexagonal

Structure (CIF):
```
data_Er3Mg3Al2Au
_chemical_formula_sum 'Er3 Mg3 Al2 Au1'
_cell_length_a 7.4170
_cell_length_b 7.4170
_cell_length_c 4.3151
_cell_angle_alpha 90.00
_cell_angle_beta 90.00
_cell_angle_gamma 120.00
_symmetry_space_group_name_H-M 'P -6 2 m'
_symmetry_Int_Tables_number 189
_symmetry_space_group_name_Hall 'P -6 -2'
loop_
_atom_site_label
_atom_site_fract_x
_atom_site_fract_y
_atom_site_fract_z
Er1 0.0000 0.4127 0.0000
Mg1 0.0000 0.7556 0.5000
Al1 0.3333 0.6667 0.5000
Au1 0.0000 0.0000 0.0000
```

---

# 5
Here is a relaxed structure of Er3Al3Ni2Au from OQMD via LeMat-Bulk. Energies are from PBE-GGA.

**Crystal system**: hexagonal

Structure (CIF):
```
data_Er3Al3Ni2Au
_chemical_formula_sum 'Er3 Al3 Ni2 Au1'
_cell_length_a 6.9777
_cell_length_b 6.9777
_cell_length_c 4.0078
_cell_angle_alpha 90.00
_cell_angle_beta 90.00
_cell_angle_gamma 120.00
_symmetry_space_group_name_H-M 'P -6 2 m'
_symmetry_Int_Tables_number 189
_symmetry_space_group_name_Hall 'P -6 -2'
loop_
_atom_site_label
_atom_site_fract_x
_atom_site_fract_y
_atom_site_fract_z
Er1 0.0000 0.5783 0.0000
Al1 0.0000 0.2531 0.5000
Ni1 0.3333 0.6667 0.5000
Au1 0.0000 0.0000 0.0000
```

---

# 6
Here is a relaxed structure of ErTm2Al3NiAu2 from OQMD via LeMat-Bulk. Energies are from PBE-GGA.

**Crystal system**: orthorhombic

Structure (CIF):
```
data_ErTm2Al3NiAu2
_chemical_formula_sum 'Er2 Tm4 Al6 Ni2 Au4'
_cell_length_a 4.0468
_cell_length_b 12.3265
_cell_length_c 7.1061
_cell_angle_alpha 90.00
_cell_angle_beta 90.00
_cell_angle_gamma 90.00
_symmetry_space_group_name_H-M 'A m m 2'
_symmetry_Int_Tables_number 38
_symmetry_space_group_name_Hall 'A 2 -2'
loop_
_atom_site_label
_atom_site_fract_x
_atom_site_fract_y
_atom_site_fract_z
Er1 0.0000 0.0000 0.0000
Tm1 0.0000 0.2002 0.6016
Al1 0.5000 0.0000 0.6282
Al2 0.5000 0.1132 0.2883
Ni1 0.0000 0.0000 0.4024
Au1 0.5000 0.1675 0.9011
```

---

# 7
Here is a relaxed structure of Er2Al4PdAu from OQMD via LeMat-Bulk. Energies are from PBE-GGA.

**Crystal system**: orthorhombic

Structure (CIF):
```
data_Er2Al4PdAu
_chemical_formula_sum 'Er4 Al8 Pd2 Au2'
_cell_length_a 6.7875
_cell_length_b 4.7131
_cell_length_c 15.7044
_cell_angle_alpha 90.00
_cell_angle_beta 90.00
_cell_angle_gamma 90.00
_symmetry_space_group_name_H-M 'A m m 2'
_symmetry_Int_Tables_number 38
_symmetry_space_group_name_Hall 'A 2 -2'
loop_
_atom_site_label
_atom_site_fract_x
_atom_site_fract_y
_atom_site_fract_z
Er1 0.0000 0.0000 0.0000
Er2 0.0000 0.0000 0.2248
Al1 0.3130 0.0000 0.7263
Al2 0.3189 0.0000 0.5487
Pd1 0.0000 0.0000 0.6154
Au1 0.0000 0.0000 0.8236
```

---

# 8
Here is a relaxed structure of ErAlPtAu from OQMD via LeMat-Bulk. Energies are from PBE-GGA.

**Crystal system**: hexagonal

Structure (CIF):
```
data_ErAlPtAu
_chemical_formula_sum 'Er2 Al2 Pt2 Au2'
_cell_length_a 4.4168
_cell_length_b 4.4168
_cell_length_c 9.1059
_cell_angle_alpha 90.00
_cell_angle_beta 90.00
_cell_angle_gamma 120.00
_symmetry_space_group_name_H-M 'P 63 m c'
_symmetry_Int_Tables_number 186
_symmetry_space_group_name_Hall 'P 6c -2c'
loop_
_atom_site_label
_atom_site_fract_x
_atom_site_fract_y
_atom_site_fract_z
Er1 0.3333 0.6667 0.0000
Al1 0.0000 0.0000 0.2743
Pt1 0.3333 0.6667 0.3352
Au1 0.3333 0.6667 0.6670
```

---

# 9
Here is a relaxed structure of ErAlPtAu from OQMD via LeMat-Bulk. Energies are from PBE-GGA.

**Crystal system**: trigonal

Structure (CIF):
```
data_ErAlPtAu
_chemical_formula_sum 'Er2 Al2 Pt2 Au2'
_cell_length_a 4.4214
_cell_length_b 4.4214
_cell_length_c 9.1113
_cell_angle_alpha 90.00
_cell_angle_beta 90.00
_cell_angle_gamma 120.00
_symmetry_space_group_name_H-M 'P -3 m 1'
_symmetry_Int_Tables_number 164
_symmetry_space_group_name_Hall '-P 3 2"'
loop_
_atom_site_label
_atom_site_fract_x
_atom_site_fract_y
_atom_site_fract_z
Er1 0.3333 0.6667 0.2609
Al1 0.0000 0.0000 0.0000
Al2 0.0000 0.0000 0.5000
Pt1 0.3333 0.6667 0.5822
Au1 0.3333 0.6667 0.9135
```

---

# 10
Here is a relaxed structure of ErAlPtAu from OQMD via LeMat-Bulk. Energies are from PBE-GGA.

**Crystal system**: hexagonal

Structure (CIF):
```
data_ErAlPtAu
_chemical_formula_sum 'Er2 Al2 Pt2 Au2'
_cell_length_a 4.4214
_cell_length_b 4.4214
_cell_length_c 9.0888
_cell_angle_alpha 90.00
_cell_angle_beta 90.00
_cell_angle_gamma 120.00
_symmetry_space_group_name_H-M 'P -6 m 2'
_symmetry_Int_Tables_number 187
_symmetry_space_group_name_Hall 'P -6 2'
loop_
_atom_site_label
_atom_site_fract_x
_atom_site_fract_y
_atom_site_fract_z
Er1 0.0000 0.0000 0.0000
Er2 0.3333 0.6667 0.5000
Al1 0.6667 0.3333 0.2749
Pt1 0.0000 0.0000 0.3292
Au1 0.3333 0.6667 0.1635
```

---

# 11
Here is a relaxed structure of ErTmAl4Au2 from OQMD via LeMat-Bulk. Energies are from PBE-GGA.

**Crystal system**: orthorhombic

Structure (CIF):
```
data_ErTmAl4Au2
_chemical_formula_sum 'Er2 Tm2 Al8 Au4'
_cell_length_a 6.7731
_cell_length_b 4.4202
_cell_length_c 10.2510
_cell_angle_alpha 90.00
_cell_angle_beta 90.00
_cell_angle_gamma 90.00
_symmetry_space_group_name_H-M 'A m m 2'
_symmetry_Int_Tables_number 38
_symmetry_space_group_name_Hall 'A 2 -2'
loop_
_atom_site_label
_atom_site_fract_x
_atom_site_fract_y
_atom_site_fract_z
Er1 0.0000 0.0000 0.0000
Tm1 0.5000 0.0000 0.8447
Al1 0.1985 0.0000 0.2951
Al2 0.3019 0.0000 0.5497
Au1 0.0000 0.0000 0.7138
Au2 0.5000 0.0000 0.1307
```

---

# 12
Here is a relaxed structure of ErTmAl2Au4 from OQMD via LeMat-Bulk. Energies are from PBE-GGA.

**Crystal system**: hexagonal

Structure (CIF):
```
data_ErTmAl2Au4
_chemical_formula_sum 'Er1 Tm1 Al2 Au4'
_cell_length_a 4.5220
_cell_length_b 4.5220
_cell_length_c 9.0486
_cell_angle_alpha 90.00
_cell_angle_beta 90.00
_cell_angle_gamma 120.00
_symmetry_space_group_name_H-M 'P -6 m 2'
_symmetry_Int_Tables_number 187
_symmetry_space_group_name_Hall 'P -6 2'
loop_
_atom_site_label
_atom_site_fract_x
_atom_site_fract_y
_atom_site_fract_z
Er1 0.0000 0.0000 0.0000
Tm1 0.3333 0.6667 0.5000
Al1 0.6667 0.3333 0.2500
Au1 0.0000 0.0000 0.3358
Au2 0.3333 0.6667 0.1645
```

---

# 13
Here is a relaxed structure of ErTm2Al3Au3 from OQMD via LeMat-Bulk. Energies are from PBE-GGA.

**Crystal system**: orthorhombic

Structure (CIF):
```
data_ErTm2Al3Au3
_chemical_formula_sum 'Er2 Tm4 Al6 Au6'
_cell_length_a 4.0553
_cell_length_b 12.5516
_cell_length_c 7.2392
_cell_angle_alpha 90.00
_cell_angle_beta 90.00
_cell_angle_gamma 90.00
_symmetry_space_group_name_H-M 'A m m 2'
_symmetry_Int_Tables_number 38
_symmetry_space_group_name_Hall 'A 2 -2'
loop_
_atom_site_label
_atom_site_fract_x
_atom_site_fract_y
_atom_site_fract_z
Er1 0.0000 0.0000 0.0000
Tm1 0.0000 0.2063 0.6196
Al1 0.5000 0.0000 0.6571
Al2 0.5000 0.1220 0.2916
Au1 0.0000 0.0000 0.4140
Au2 0.5000 0.1673 0.9131
```

---

# 14
Here is a relaxed structure of AlAuF6 from OQMD via LeMat-Bulk. Energies are from PBE-GGA.

**Crystal system**: cubic

Structure (CIF):
```
data_AlAuF6
_chemical_formula_sum 'Al4 Au4 F24'
_cell_length_a 7.0751
_cell_length_b 7.0751
_cell_length_c 7.0751
_cell_angle_alpha 90.00
_cell_angle_beta 90.00
_cell_angle_gamma 90.00
_symmetry_space_group_name_H-M 'F -4 3 m'
_symmetry_Int_Tables_number 216
_symmetry_space_group_name_Hall 'F -4 2 3'
loop_
_atom_site_label
_atom_site_fract_x
_atom_site_fract_y
_atom_site_fract_z
Al1 0.0000 0.0000 0.0000
Au1 0.2500 0.2500 0.7500
F1 0.0000 0.0000 0.2502
```

---

# 15
Here is a relaxed structure of Al2FeAu from OQMD via LeMat-Bulk. Energies are from PBE-GGA.

**Crystal system**: cubic

Structure (CIF):
```
data_Al2FeAu
_chemical_formula_sum 'Al8 Fe4 Au4'
_cell_length_a 6.2110
_cell_length_b 6.2110
_cell_length_c 6.2110
_cell_angle_alpha 90.00
_cell_angle_beta 90.00
_cell_angle_gamma 90.00
_symmetry_space_group_name_H-M 'F -4 3 m'
_symmetry_Int_Tables_number 216
_symmetry_space_group_name_Hall 'F -4 2 3'
loop_
_atom_site_label
_atom_site_fract_x
_atom_site_fract_y
_atom_site_fract_z
Al1 0.0000 0.0000 0.0000
Al2 0.2500 0.2500 0.2500
Fe1 0.0000 0.0000 0.5000
Au1 0.2500 0.2500 0.7500
```

---

# 16
Here is a relaxed structure of AlFe2Au from OQMD via LeMat-Bulk. Energies are from PBE-GGA.

**Crystal system**: cubic

Structure (CIF):
```
data_AlFe2Au
_chemical_formula_sum 'Al4 Fe8 Au4'
_cell_length_a 6.0534
_cell_length_b 6.0534
_cell_length_c 6.0534
_cell_angle_alpha 90.00
_cell_angle_beta 90.00
_cell_angle_gamma 90.00
_symmetry_space_group_name_H-M 'F -4 3 m'
_symmetry_Int_Tables_number 216
_symmetry_space_group_name_Hall 'F -4 2 3'
loop_
_atom_site_label
_atom_site_fract_x
_atom_site_fract_y
_atom_site_fract_z
Al1 0.0000 0.0000 0.0000
Fe1 0.0000 0.0000 0.5000
Fe2 0.2500 0.2500 0.7500
Au1 0.2500 0.2500 0.2500
```

---

# 17
Here is a relaxed structure of AlFeAu2 from OQMD via LeMat-Bulk. Energies are from PBE-GGA.

**Crystal system**: cubic

Structure (CIF):
```
data_AlFeAu2
_chemical_formula_sum 'Al4 Fe4 Au8'
_cell_length_a 6.2653
_cell_length_b 6.2653
_cell_length_c 6.2653
_cell_angle_alpha 90.00
_cell_angle_beta 90.00
_cell_angle_gamma 90.00
_symmetry_space_group_name_H-M 'F -4 3 m'
_symmetry_Int_Tables_number 216
_symmetry_space_group_name_Hall 'F -4 2 3'
loop_
_atom_site_label
_atom_site_fract_x
_atom_site_fract_y
_atom_site_fract_z
Al1 0.0000 0.0000 0.0000
Fe1 0.2500 0.2500 0.2500
Au1 0.0000 0.0000 0.5000
Au2 0.2500 0.2500 0.7500
```

---

# 18
Here is a relaxed structure of Al2Fe2Au from OQMD via LeMat-Bulk. Energies are from PBE-GGA.

**Crystal system**: tetragonal

Structure (CIF):
```
data_Al2Fe2Au
_chemical_formula_sum 'Al4 Fe4 Au2'
_cell_length_a 3.6758
_cell_length_b 3.6758
_cell_length_c 11.1656
_cell_angle_alpha 90.00
_cell_angle_beta 90.00
_cell_angle_gamma 90.00
_symmetry_space_group_name_H-M 'I 4/m m m'
_symmetry_Int_Tables_number 139
_symmetry_space_group_name_Hall '-I 4 2'
loop_
_atom_site_label
_atom_site_fract_x
_atom_site_fract_y
_atom_site_fract_z
Al1 0.0000 0.5000 0.2500
Fe1 0.0000 0.0000 0.0976
Au1 0.0000 0.0000 0.5000
```

---

# 19
Here is a relaxed structure of AlFeH6Au from OQMD via LeMat-Bulk. Energies are from PBE-GGA.

**Crystal system**: cubic

Structure (CIF):
```
data_AlFeH6Au
_chemical_formula_sum 'Al4 Fe4 H24 Au4'
_cell_length_a 6.5470
_cell_length_b 6.5470
_cell_length_c 6.5470
_cell_angle_alpha 90.00
_cell_angle_beta 90.00
_cell_angle_gamma 90.00
_symmetry_space_group_name_H-M 'F -4 3 m'
_symmetry_Int_Tables_number 216
_symmetry_space_group_name_Hall 'F -4 2 3'
loop_
_atom_site_label
_atom_site_fract_x
_atom_site_fract_y
_atom_site_fract_z
Al1 0.0000 0.0000 0.0000
Fe1 0.2500 0.2500 0.2500
H1 0.0000 0.0000 0.2664
Au1 0.2500 0.2500 0.7500
```

---

# 20
Here is a relaxed structure of AlFeHgAu from OQMD via LeMat-Bulk. Energies are from PBE-GGA.

**Crystal system**: cubic

Structure (CIF):
```
data_AlFeHgAu
_chemical_formula_sum 'Al4 Fe4 Hg4 Au4'
_cell_length_a 6.4442
_cell_length_b 6.4442
_cell_length_c 6.4442
_cell_angle_alpha 90.00
_cell_angle_beta 90.00
_cell_angle_gamma 90.00
_symmetry_space_group_name_H-M 'F -4 3 m'
_symmetry_Int_Tables_number 216
_symmetry_space_group_name_Hall 'F -4 2 3'
loop_
_atom_site_label
_atom_site_fract_x
_atom_site_fract_y
_atom_site_fract_z
Al1 0.0000 0.0000 0.0000
Fe1 0.2500 0.2500 0.2500
Hg1 0.0000 0.0000 0.5000
Au1 0.2500 0.2500 0.7500
```

---

How do the records compare in DFT total energy? In the order shown, they have -4.47 -4.88 -3.71 -3.68 -5.01 -4.86 -3.94 -5.41 -5.40 -5.41 -4.48 -4.46 -4.64 -3.99 -4.76 -6.01 -4.65 -5.30 -3.26 -3.73 eV/atom.